# 1
Entry from the Alexandria database: Ti2FeH2 after structural relaxation (GGA-PBEsol).

Results
Space-group type: No. 139
DFT total energy: -6.903 eV per atom

Cell lengths 2.8840, 2.8840, 10.9765 Å; angles 90.00, 90.00, 90.00 degrees
Sites, in units of the cell vectors:
1 Ti 0.0000 0.0000 0.1362
2 Ti 0.0000 0.0000 0.8638
3 Ti 0.5000 0.5000 0.3638
4 Ti 0.5000 0.5000 0.6362
5 Fe 0.0000 0.0000 0.5000
6 Fe 0.5000 0.5000 0.0000
7 H 0.0000 0.5000 0.2500
8 H 0.0000 0.5000 0.7500
9 H 0.5000 0.0000 0.2500
10 H 0.5000 0.0000 0.7500

***

# 2
Entry from the Alexandria database: TlFe2H after structural relaxation (GGA-PBEsol).

Results
Space-group type: No. 225
DFT total energy: -4.908 eV per atom

Cell lengths 5.9854, 5.9854, 5.9854 Å; angles 90.00, 90.00, 90.00 degrees
Sites, in units of the cell vectors:
1 Tl 0.0000 0.0000 0.0000
2 Tl 0.0000 0.5000 0.5000
3 Tl 0.5000 0.0000 0.5000
4 Tl 0.5000 0.5000 0.0000
5 Fe 0.2500 0.2500 0.2500
6 Fe 0.2500 0.2500 0.7500
7 Fe 0.2500 0.7500 0.2500
8 Fe 0.2500 0.7500 0.7500
9 Fe 0.7500 0.2500 0.2500
10 Fe 0.7500 0.2500 0.7500
11 Fe 0.7500 0.7500 0.2500
12 Fe 0.7500 0.7500 0.7500
13 H 0.0000 0.0000 0.5000
14 H 0.0000 0.5000 0.0000
15 H 0.5000 0.0000 0.0000
16 H 0.5000 0.5000 0.5000

***

What is the formula in the second record?
TlFe2H